[1]
Material: La4HoIn2
Method: DFT, PBE
State: relaxed

POSCAR file:
```
La4HoIn2
1.0
0.0000 5.1229 6.4732
3.4977 0.0000 6.4732
3.4977 5.1229 0.0000
La Ho In
4 1 2
Cartesian
1.7489 2.5615 0.0000
1.7489 2.5615 3.2366
1.7489 2.5615 6.4732
5.2466 7.6844 9.7099
0.0000 0.0000 0.0000
3.4977 5.1229 4.9015
3.4977 5.1229 8.0450
```

Computed properties:
* symmetry: No. 69
* ΔH_f (0 K): -0.01 eV per atom


[2]
Material: La3Ho2In
Method: DFT, PBE
State: relaxed

POSCAR file:
```
La3Ho2In
1.0
6.8340 0.0000 0.0000
1.8029 6.8427 0.0000
2.6403 2.4165 8.3942
La Ho In
6 4 2
Cartesian
1.3604 1.6210 1.3056
4.3940 6.2958 4.1546
6.5331 8.5531 7.0028
4.7440 0.7060 1.3914
6.8831 2.9633 4.2397
9.9168 7.6381 7.0886
2.0336 4.9064 1.8426
5.9178 5.2004 7.1237
5.3593 4.0587 1.2705
9.2436 4.3527 6.5516
3.4884 2.8203 3.8438
7.7888 6.4388 4.5504
```

Computed properties:
* symmetry: No. 2
* ΔH_f (0 K): -0.15 eV per atom


[3]
Material: La2HoIn
Method: DFT, PBE
State: relaxed

POSCAR file:
```
La2HoIn
1.0
3.6972 0.0000 0.0000
-1.8486 3.2019 0.0000
0.0000 0.0000 33.7605
La Ho In
6 3 3
Cartesian
0.0000 0.0000 0.0000
0.0000 0.0000 5.8590
0.0000 2.1346 22.5070
0.0000 2.1346 28.3660
1.8486 1.0673 11.2535
1.8486 1.0673 17.1125
0.0000 0.0000 14.1895
0.0000 2.1346 2.9360
1.8486 1.0673 25.4430
0.0000 0.0000 19.8068
0.0000 2.1346 8.5533
1.8486 1.0673 31.0603
```

Computed properties:
* symmetry: No. 160
* ΔH_f (0 K): -0.11 eV per atom
* energy above the lowest structure with this stoichiometry: 0.1672 eV per atom


[4]
Material: LaHoIn3
Method: DFT, PBE
State: relaxed

POSCAR file:
```
LaHoIn3
1.0
5.7472 -3.3142 0.0000
5.7472 3.3142 0.0000
-3.8329 0.0000 7.5549
La Ho In
2 2 6
Cartesian
-0.0009 0.0000 2.0341
7.6624 0.0000 5.5209
-0.0004 0.0000 7.5144
7.6619 0.0000 0.0405
2.8757 1.6530 2.5519
1.9222 0.0000 5.0014
4.7858 1.6530 5.0030
2.8757 -1.6530 2.5519
5.7393 0.0000 2.5536
4.7858 -1.6530 5.0030
```

Computed properties:
* symmetry: No. 12
* ΔH_f (0 K): -0.42 eV per atom
* energy above the lowest structure with this stoichiometry: 0.0462 eV per atom


Look up the ΔH_f (0 K) of the first one. -0.01 eV per atom


ΔH_f (0 K) of number 2 (La3Ho2In)? -0.15 eV per atom


Which of these has the lowest ΔH_f (0 K)? LaHoIn3


What is the ΔH_f (0 K) in the first record? -0.01 eV per atom